Entry 1:
## TeP2 (GGA-PBE)

Data for crystalline TeP2 at its relaxed geometry.

Its symmetry is P6/mmm (191). For the volume, the calculation gives 60.6 Å³/cell. Its energy is -4.036 eV/atom. The formation energy without anion corrections is 60 kJ per mole of atoms.

abc: 4.240 4.240 3.894
angles: 90.00 90.00 120.00
Atoms (fractional coordinates):
Te  0.000  0.000  0.000
P  0.333  0.667  0.500
P  0.667  0.333  0.500


Entry 2:
## ScAsP2 (GGA-PBE)

Data for crystalline ScAsP2 at its relaxed geometry.

Its symmetry is Cmmm (65). For the volume, the calculation gives 68.3 Å³/cell. Its energy is -5.757 eV/atom. The formation energy comes out at -7.08 kcal/mol of atoms.

abc: 4.488 4.488 3.483
angles: 90.00 90.00 103.29
Atoms (fractional coordinates):
Sc  0.000  0.000  0.000
As  0.500  0.500  0.000
P  0.000  0.500  0.500
P  0.500  0.000  0.500


Entry 3:
## Tc3Ru (GGA-PBE)

Data for crystalline Tc3Ru at its relaxed geometry.

Its symmetry is Pm-3m (221). For the volume, the calculation gives 103.4 Å³/cell. Its energy is -7.559 eV/atom. The formation energy comes out at 58.43 kcal/mol of atoms.

abc: 4.694 4.694 4.694
angles: 90.00 90.00 90.00
Atoms (fractional coordinates):
Tc  0.000  0.000  0.500
Tc  0.000  0.500  0.000
Tc  0.500  0.000  0.000
Ru  0.000  0.000  0.000


Entry 4:
## Tl2PtI2Cl4 (GGA-PBE)

Data for crystalline Tl2PtI2Cl4 at its relaxed geometry.

Its symmetry is I4/mmm (139). For the volume, the calculation gives 287.9 Å³/cell. Its energy is -2.992 eV/atom. The formation energy without anion corrections is -61 kJ per mole of atoms.

abc: 7.424 7.424 7.424
angles: 120.32 120.32 89.44
Atoms (fractional coordinates):
Tl  0.250  0.750  0.500
Tl  0.750  0.250  0.500
Pt  0.000  0.000  0.000
I  0.255  0.255  0.000
I  0.745  0.745  0.000
Cl  0.225  0.225  0.450
Cl  0.225  0.775  0.000
Cl  0.775  0.225  0.000
Cl  0.775  0.775  0.550